No. 1
## Ca2BiPd5 (PBE)

Data for an optimized crystal structure of Ca2BiPd5.

Properties
N(E_F), states/eV per cell: 4.03
Symmetry: I4mm, No. 107
Calculated density, g cm⁻³: 8.80
E_form, eV/atom: -0.547

Cell lengths 5.8839, 5.8839, 5.8839 Å; angles 113.21, 113.21, 102.23 degrees
Fractional positions:
Ca 0.0000 0.5000 0.5000
Ca 0.5000 0.0000 0.5000
Bi 0.4210 0.4210 0.0000
Pd 0.0234 0.0234 0.0000
Pd 0.5234 0.5234 0.5576
Pd 0.5234 0.9658 0.0000
Pd 0.9658 0.5234 0.0000
Pd 0.9658 0.9658 0.4424

No. 2
## La2PrRuN4 (PBE)

Data for an optimized crystal structure of La2PrRuN4.

Properties
N(E_F), states/eV per cell: 4.36
Symmetry: Cmcm, No. 63
Calculated density, g cm⁻³: 7.17
Formation energy (no corrections), meV/atom: -829

Cell lengths 6.3392, 6.3392, 12.3585 Å; angles 90.00, 90.00, 147.51 degrees
Fractional positions:
La 0.1320 0.8680 0.5429
La 0.1320 0.8680 0.9571
La 0.8680 0.1320 0.0429
La 0.8680 0.1320 0.4571
Pr 0.3806 0.6194 0.7500
Pr 0.6194 0.3806 0.2500
Ru 0.3487 0.6513 0.2500
Ru 0.6513 0.3487 0.7500
N 0.0735 0.9265 0.7500
N 0.2252 0.7748 0.1383
N 0.2252 0.7748 0.3617
N 0.5000 0.5000 0.0000
N 0.5000 0.5000 0.5000
N 0.7748 0.2252 0.6383
N 0.7748 0.2252 0.8617
N 0.9265 0.0735 0.2500

No. 3
## Nb6V2W (PBE)

Data for an optimized crystal structure of Nb6V2W.

Properties
N(E_F), states/eV per cell: 10.29
Symmetry: C2/m, No. 12
Calculated density, g cm⁻³: 7.93
E_form, eV/atom: 0.691
Energy above the most stable polymorph in this dataset, meV per atom: 672

Cell lengths 7.5631, 7.5631, 4.3742 Å; angles 106.70, 106.70, 48.04 degrees
Fractional positions:
Nb 0.0773 0.5841 0.3308
Nb 0.2429 0.7571 0.0000
Nb 0.4159 0.9227 0.6692
Nb 0.5841 0.0773 0.3308
Nb 0.7571 0.2429 0.0000
Nb 0.9227 0.4159 0.6692
V 0.1671 0.1671 0.1667
V 0.8329 0.8329 0.8333
W 0.5000 0.5000 0.5000